First-principles (GGA-PBE) data for a relaxed structure of La3VRe, as listed in the Alexandria database.

The structure in POSCAR format:
```
La3VRe
1.0
-2.691 3.392 -3.437
-4.776 -1.289 2.467
0.712 4.170 3.558
Re La V
1 3 1
direct
0.000 0.000 0.000
0.000 0.500 0.000
0.000 0.000 0.500
0.500 0.000 0.000
0.500 0.500 0.500
```

Fermi-level density of states: 1.48 states/eV/atom
Energy relative to the elements: 630 meV/atom
Calculated total energy: -33.20 eV/cell
ΔE to the lowest computed polymorph: 0.00 eV per formula unit
Density: 6.43 g/cm3

***

First-principles (GGA-PBE) data for a relaxed structure of AlTeSe2, as listed in the Alexandria database.

The structure in POSCAR format:
```
AlTeSe2
1.0
4.190 0.000 0.000
0.000 7.141 -0.107
0.000 4.780 3.243
Te Al Se
1 1 2
direct
0.500 0.500 0.500
0.000 0.000 0.500
0.000 0.000 0.000
0.500 0.500 0.000
```

ΔE_f (raw): -0.0738 eV/atom
Fermi-level density of states: 0.53 states/eV/atom
Calculated total energy: -14.15 eV/cell
ΔE to the lowest computed polymorph: 1.48 eV per formula unit
Density: 5.23 g/cm3

***

First-principles (GGA-PBE) data for a relaxed structure of LiIn4Hg8, as listed in the Alexandria database.

The structure in POSCAR format:
```
LiIn4Hg8
1.0
-1.331 1.321 -3.189
-6.423 -0.205 0.449
-4.322 13.774 5.363
Li In Hg
1 4 8
direct
0.758 0.722 0.762
0.359 0.817 0.464
0.711 0.599 0.979
0.273 0.306 0.147
0.619 0.281 0.481
0.060 0.555 0.326
0.542 0.755 0.161
0.406 0.368 0.820
0.934 0.510 0.623
0.808 0.081 0.304
0.104 0.949 0.844
0.182 0.997 0.639
0.949 0.082 0.019
```

Fermi-level density of states: 0.31 states/eV/atom
Energy relative to the elements: -33 meV/atom
Calculated total energy: -15.71 eV/cell
Density: 10.19 g/cm3

***

First-principles (GGA-PBE) data for a relaxed structure of Er2Np2Ni15, as listed in the Alexandria database.

The structure in POSCAR format:
```
Er2Np2Ni15
1.0
6.417 0.045 0.040
0.877 6.357 0.040
0.877 0.770 6.310
Er Np Ni
2 2 15
direct
0.357 0.357 0.357
0.643 0.643 0.643
0.091 0.091 0.091
0.909 0.909 0.909
0.500 0.000 0.000
0.000 0.000 0.500
0.000 0.500 0.000
0.000 0.682 0.318
0.682 0.318 0.000
0.318 0.000 0.682
0.318 0.682 0.000
0.682 0.000 0.318
0.000 0.318 0.682
0.162 0.657 0.657
0.657 0.657 0.162
0.657 0.162 0.657
0.838 0.343 0.343
0.343 0.343 0.838
0.343 0.838 0.343
```

Fermi-level density of states: 1.45 states/eV/atom
Energy relative to the elements: -224 meV/atom
Calculated total energy: -125.99 eV/cell
Density: 10.92 g/cm3

***

> Look up the calculated total energy of the second one.

-14.15 eV/cell

***

> Among the records above, which one has the lowest density?

AlTeSe2

***

> Which value of density does entry 1 give?

6.43 g/cm3

***

> Among the records above, which one has the lowest Fermi-level density of states?

LiIn4Hg8